{
  "formula": "CrSn2F6",
  "functional": "PBE+U",
  "state": "optimized geometry",
  "lattice_angstrom": [[4.8774, -6.1363, 0.0000], [4.8774, 6.1363, 0.0000], [-0.9298, 0.0000, 5.1778]],
  "species": ["Cr", "Cr", "Sn", "Sn", "Sn", "Sn", "F", "F", "F", "F", "F", "F", "F", "F", "F", "F", "F", "F"],
  "frac_coords": [[0.0785, 0.9215, 0.7500], [0.9215, 0.0785, 0.2500], [0.2188, 0.4601, 0.8871], [0.4601, 0.2188, 0.3871], [0.5399, 0.7812, 0.6129], [0.7812, 0.5399, 0.1129], [0.0575, 0.1786, 0.6014], [0.0680, 0.6565, 0.8626], [0.1786, 0.0575, 0.1014], [0.3001, 0.5327, 0.5173], [0.3435, 0.9320, 0.6374], [0.4673, 0.6999, 0.9827], [0.5327, 0.3001, 0.0173], [0.6565, 0.0680, 0.3626], [0.6999, 0.4673, 0.4827], [0.8214, 0.9425, 0.8986], [0.9320, 0.3435, 0.1374], [0.9425, 0.8214, 0.3986]],
  "final_energy_ev_per_atom": -5.30,
  "dos_at_fermi_per_ev_atom": 0.000,
  "spacegroup": "C2/c (15)"
}